A plane-wave DFT calculation with PBE was carried out for a relaxed structure of CeZnGa4Cu2.

Unit cell a=4.3056 b=4.3056 c=9.0826 alpha=76.29 beta=76.29 gamma=60.00
Last column: magnetic moment on the atom in μB.
Fractional coordinates of all 8 atoms:
Cu  0.7592  0.7592  0.7225  0.00
Ga  0.1254  0.1254  0.6238  0.00
Ga  0.8746  0.8746  0.3762  0.00
Ga  0.3985  0.3985  0.8044  0.00
Zn  0.5000  0.5000  0.5000  0.00
Cu  0.2408  0.2408  0.2775  0.00
Ga  0.6015  0.6015  0.1956  0.00
Ce  0.0000  0.0000  0.0000  0.58

formation energy	-18.5	kJ/mol of atoms

***

A plane-wave DFT calculation with PBE was carried out for a relaxed structure of La2MgPt9.

Unit cell a=5.4487 b=5.4487 c=9.5014 alpha=73.34 beta=73.34 gamma=60.00
Fractional coordinates of all 12 atoms:
Mg  0.0000  0.0000  0.0000
La  0.8635  0.8635  0.4096
Pt  0.0799  0.5851  0.7499
Pt  0.4149  0.9201  0.2501
Pt  0.3324  0.3324  0.0028
Pt  0.4149  0.4149  0.2501
Pt  0.5000  0.5000  0.5000
La  0.1365  0.1365  0.5904
Pt  0.5851  0.5851  0.7499
Pt  0.6676  0.6676  0.9972
Pt  0.5851  0.0799  0.7499
Pt  0.9201  0.4149  0.2501

formation energy	-70.8	kJ/mol of atoms

***

A plane-wave DFT calculation with PBE was carried out for a relaxed structure of LaSm4Co.

Unit cell a=5.9699 b=7.4413 c=9.6452 alpha=112.69 beta=108.05 gamma=90.00
Fractional coordinates of all 12 atoms:
Sm  0.6159  0.3657  0.2331
Sm  0.0000  0.7663  0.0000
Sm  0.1719  0.6715  0.3429
Co  0.3138  0.5006  0.0012
Sm  0.6159  0.8673  0.2331
Sm  0.8281  0.3285  0.6571
La  0.8042  0.8028  0.6055
La  0.1958  0.1972  0.3945
Sm  0.3841  0.1327  0.7669
Sm  0.0000  0.2337  0.0000
Co  0.6862  0.4994  0.9988
Sm  0.3841  0.6343  0.7669

formation energy	0.7	kJ/mol of atoms

***

A plane-wave DFT calculation with PBE was carried out for a relaxed structure of YIn2W.

Unit cell a=3.1574 b=3.1574 c=9.4631 alpha=90.00 beta=90.00 gamma=105.20
Fractional coordinates of all 4 atoms:
In  0.0000  0.0000  0.0105
W  0.0000  0.0000  0.4913
In  0.5000  0.5000  0.2702
Y  0.5000  0.5000  0.7280

formation energy	35.0	kJ/mol of atoms

***

A plane-wave DFT calculation with PBE was carried out for a relaxed structure of Zn3CdPt.

Unit cell a=2.8726 b=8.3709 c=7.3880 alpha=90.00 beta=90.00 gamma=90.00
Fractional coordinates of all 10 atoms:
Pt  0.7500  0.2500  0.0474
Zn  0.7500  0.7500  0.2572
Zn  0.7500  0.9891  0.8242
Zn  0.2500  0.0109  0.1758
Pt  0.2500  0.7500  0.9526
Zn  0.2500  0.4891  0.1758
Cd  0.7500  0.2500  0.4289
Zn  0.2500  0.2500  0.7428
Cd  0.2500  0.7500  0.5711
Zn  0.7500  0.5109  0.8242

formation energy	-17.1	kJ/mol of atoms

***

A plane-wave DFT calculation with PBE was carried out for a relaxed structure of LiTeAs.

Unit cell a=6.1197 b=6.1197 c=6.1197 alpha=150.95 beta=139.56 gamma=50.56
Fractional coordinates of all 3 atoms:
Li  0.3652  0.3652  0.0000
As  0.9372  0.9372  0.0000
Te  0.6976  0.6976  0.0000

formation energy (no corrections)	-6.0	kcal/mol of atoms

***

Record order is preserved below.
Magnetization: 0.67 0.00 0.00 0.00 0.00 0.00 μB per cell
Record order is preserved below.
DFT total energy: -3.6304 -6.2189 -5.1448 -5.8609 -2.3328 -3.4931 eV/atom